Below is a relaxed structure of YCuSn2, with properties calculated at the PBE level.

Cell: 4.3989 4.3989 9.3988 Å, 90.00 90.00 90.00°
Last column: nearest neighbours and their distance in Å.
Sites, in units of the cell vectors:
Y  0.0000  0.5000  0.2344  4 Cu 3.11, 8 Sn 3.18-3.33
Y  0.5000  0.0000  0.7656  4 Cu 3.11, 8 Sn 3.18-3.33
Cu  0.5000  0.5000  0.0000  4 Sn 2.70
Cu  0.0000  0.0000  0.0000  4 Sn 2.70
Sn  0.5000  0.0000  0.1664  4 Cu 2.70
Sn  0.0000  0.5000  0.8336  4 Cu 2.70
Sn  0.0000  0.0000  0.5000  4 Sn 3.11, 4 Y 3.33
Sn  0.5000  0.5000  0.5000  4 Sn 3.11, 4 Y 3.33

Values from the calculation:
volume = 22.73 Å³ per atom
formation energy from the elements = -0.4679 eV per atom
total energy = -5.11 eV per atom